Crystalline LiMnCSO7 at its relaxed geometry, computed with PBE+U.

Unit cell a=5.090 b=6.774 c=8.779 alpha=90.00 beta=94.72 gamma=90.00
Element x y z (fractional)
Li (0.207, 0.000, 0.318)
Li (0.793, 0.500, 0.682)
Mn (0.229, 0.725, 0.847)
Mn (0.771, 0.225, 0.153)
C (0.285, 0.731, 0.575)
C (0.715, 0.231, 0.425)
S (0.251, 0.222, 0.917)
S (0.749, 0.722, 0.083)
O (0.054, 0.719, 0.635)
O (0.126, 0.212, 0.066)
O (0.157, 0.397, 0.828)
O (0.199, 0.043, 0.826)
O (0.315, 0.772, 0.441)
O (0.456, 0.743, 0.042)
O (0.480, 0.701, 0.683)
O (0.520, 0.201, 0.317)
O (0.544, 0.243, 0.958)
O (0.685, 0.272, 0.559)
O (0.801, 0.543, 0.174)
O (0.843, 0.897, 0.172)
O (0.874, 0.712, 0.934)
O (0.946, 0.219, 0.365)

Results
Total energy   -6.76 eV per atom